## SnTeI2O (GGA-PBE)

Data for a geometry-optimized SnTeI2O structure.

Lattice parameters (Å, degrees): 6.2576 6.2576 4.0767 90.00 90.00 90.00
Closest atoms and distances in Å follow each position.
Sites, in units of the cell vectors:
Sn1 0.0000 0.0000 0.0000  8 I 3.73, 2 Sn 4.08
Te1 0.5000 0.5000 0.5000  2 O 2.04
I1 0.0000 0.5000 0.5000  2 Te 3.13
I2 0.5000 0.0000 0.5000  2 Te 3.13
O1 0.5000 0.5000 0.0000  2 Te 2.04

formation energy (no corrections) = -0.072 eV/atom
symmetry = No. 123
polymorph energy (0 for the lowest one) = 21 meV per atom